DyHoPdPt after structural relaxation, computed with PBE.

Computed properties:
For the offset from the most stable computed form, the calculation gives 0.038 eV per atom. The formation enthalpy at 0 K is -1.078 eV per atom.

Cell and atoms, written as POSCAR:
```
DyHoPdPt
1.0
4.9402 0.0000 0.0000
2.4701 4.2784 0.0000
2.4701 1.4261 4.0337
Pt Ho Pd Dy
1 1 1 1
direct
0.2500 0.2500 0.2500 Pt
0.0000 0.0000 0.0000 Ho
0.7500 0.7500 0.7500 Pd
0.5000 0.5000 0.5000 Dy
```

CuSN3 after structural relaxation, computed with PBE.

Computed properties:
Its formation energy without anion corrections is 2005.6 meV/atom.

Cell and atoms, written as POSCAR:
```
CuSN3
1.0
3.4886 0.0000 0.0000
0.0000 3.4886 0.0000
0.0000 0.0000 3.4886
N S Cu
3 1 1
direct
0.5000 0.0000 0.0000 N
0.0000 0.0000 0.5000 N
0.0000 0.5000 0.0000 N
0.0000 0.0000 0.0000 S
0.5000 0.5000 0.5000 Cu
```

Cs2RbV after structural relaxation, computed with PBE.

Computed properties:
The formation enthalpy at 0 K is 1.101 eV per atom.

Cell and atoms, written as POSCAR:
```
Cs2RbV
1.0
10.4981 0.0000 0.0000
0.0000 10.4981 0.0000
5.2490 5.2490 7.5866
V Cs Rb
2 4 2
direct
0.5000 0.5000 0.0000 V
0.2500 0.7500 0.5000 V
0.3750 0.6231 0.7500 Cs
0.3731 0.6250 0.2500 Cs
0.3769 0.1250 0.2500 Cs
0.8750 0.6269 0.7500 Cs
0.0000 0.0000 0.0000 Rb
0.7500 0.2500 0.5000 Rb
```

Cd3GaPb after structural relaxation, computed with PBE.

Computed properties:
For the offset from the most stable computed form, the calculation gives 0.000 eV per atom. The formation enthalpy at 0 K is 0.061 eV per atom.

Cell and atoms, written as POSCAR:
```
Cd3GaPb
1.0
-0.8627 -3.4579 -1.7284
6.3639 0.3008 -3.7778
6.0378 -3.9361 4.8613
Cd Pb Ga
6 2 2
direct
0.8811 0.6540 0.4936 Cd
0.3809 0.4192 0.7567 Cd
0.8807 0.2556 0.0495 Cd
0.3813 0.0081 0.9045 Cd
0.8813 0.6667 0.9014 Cd
0.3813 0.0206 0.3127 Cd
0.8813 0.1883 0.5568 Pb
0.3812 0.4866 0.2491 Pb
0.3804 0.8360 0.6497 Ga
0.8805 0.8386 0.1564 Ga
```

Cs2Na5Sn after structural relaxation, computed with PBE.

Computed properties:
The formation enthalpy at 0 K is -0.023 eV per atom.

Cell and atoms, written as POSCAR:
```
Cs2Na5Sn
1.0
7.5090 0.0194 -0.0106
0.0211 8.7575 -1.0201
-3.7740 -5.1152 6.3742
Cs Na Sn
2 5 1
direct
0.2957 0.6435 0.5907 Cs
0.7208 0.3061 0.4401 Cs
0.8567 0.7931 0.1397 Na
0.2856 0.7925 0.1369 Na
0.7272 0.7645 0.4532 Na
0.7069 0.2450 0.9071 Na
0.1972 0.2466 0.9105 Na
0.9869 0.9857 0.9759 Sn
```

LaP3H after structural relaxation, computed with PBE.

Computed properties:
For the offset from the most stable computed form, the calculation gives 0.000 eV per atom.

Cell and atoms, written as POSCAR:
```
LaP3H
1.0
4.2977 0.0000 0.0000
0.0000 4.2977 0.0000
0.0000 0.0000 4.2977
H P La
1 3 1
direct
0.0000 0.0000 0.0000 H
0.0000 0.5000 0.0000 P
0.5000 0.0000 0.0000 P
0.0000 0.0000 0.5000 P
0.5000 0.5000 0.5000 La
```

SmDyGa2 after structural relaxation, computed with PBE.

Computed properties:
For the offset from the most stable computed form, the calculation gives 0.040 eV per atom. The formation enthalpy at 0 K is -0.575 eV per atom.

Cell and atoms, written as POSCAR:
```
SmDyGa2
1.0
-2.0762 -3.7421 -2.7834
1.9296 -1.1413 -4.5864
2.5342 -4.3783 -0.6855
Sm Dy Ga
1 1 2
direct
0.0000 0.0000 0.0000 Sm
0.5000 0.5000 0.5000 Dy
0.2500 0.2500 0.2500 Ga
0.7500 0.7500 0.7500 Ga
```

CaP after structural relaxation, computed with PBE.

Computed properties:
The formation enthalpy at 0 K is -0.977 eV per atom.

Cell and atoms, written as POSCAR:
```
CaP
1.0
5.6099 0.0000 -0.0007
0.0000 5.9224 0.0000
-1.8426 0.0000 5.5845
P Ca
4 4
direct
0.6800 0.0000 0.6565 P
0.6800 0.5000 0.1565 P
0.3200 0.0000 0.3435 P
0.3200 0.5000 0.8435 P
0.7780 0.0000 0.2035 Ca
0.2220 0.0000 0.7965 Ca
0.7780 0.5000 0.7035 Ca
0.2220 0.5000 0.2965 Ca
```

BaErI2 after structural relaxation, computed with PBE.

Computed properties:
Its formation energy without anion corrections is -766.6 meV/atom.

Cell and atoms, written as POSCAR:
```
BaErI2
1.0
-2.4786 -1.2500 -2.9928
-1.2532 -3.8828 -0.1241
-10.2630 0.9974 5.2993
Er I Ba
1 2 1
direct
0.5000 0.5000 0.5000 Er
0.8929 0.8929 0.3212 I
0.1071 0.1071 0.6788 I
0.0000 0.0000 0.0000 Ba
```

As2IrPd after structural relaxation, computed with PBE.

Computed properties:
For the offset from the most stable computed form, the calculation gives 0.069 eV per atom. The formation enthalpy at 0 K is 0.013 eV per atom.

Cell and atoms, written as POSCAR:
```
As2IrPd
1.0
3.3472 0.0000 0.0000
1.6736 2.8988 0.0000
1.6736 0.9663 7.9985
Ir As Pd
1 2 1
direct
0.5000 0.5000 0.5000 Ir
0.8997 0.8997 0.3008 As
0.1003 0.1003 0.6992 As
0.0000 0.0000 0.0000 Pd
```

BeNbFeH2 after structural relaxation, computed with PBE.

Computed properties:
Its raw total energy is -5.02 eV/atom.

Cell and atoms, written as POSCAR:
```
BeNbFeH2
1.0
3.3861 0.0000 0.0000
0.0000 4.6864 0.0000
0.0000 0.0000 3.3861
Fe Be H Nb
1 1 2 1
direct
0.0000 0.0000 0.0000 Fe
0.5000 0.5000 0.5000 Be
0.0000 0.0000 0.5000 H
0.5000 0.0000 0.0000 H
0.0000 0.5000 0.0000 Nb
```

HgTe2N2 after structural relaxation, computed with PBE.

Computed properties:
Its formation energy without anion corrections is 1277.0 meV/atom. For the offset from the most stable computed form, the calculation gives 0.000 eV per atom.

Cell and atoms, written as POSCAR:
```
HgTe2N2
1.0
4.0724 0.0000 0.0000
0.0000 4.0724 0.0000
0.0000 0.0000 6.6415
Te Hg N
2 1 2
direct
0.0000 0.0000 0.5000 Te
0.0000 0.0000 0.0000 Te
0.5000 0.5000 0.5000 Hg
0.5000 0.0000 0.0000 N
0.0000 0.5000 0.0000 N
```

CaCe3Pm2N6 after structural relaxation, computed with PBE.

Computed properties:
Its formation energy without anion corrections is -1422.6 meV/atom.

Cell and atoms, written as POSCAR:
```
CaCe3Pm2N6
1.0
-1.4464 -1.7547 2.7749
6.1538 -3.4953 0.9972
1.5784 7.1995 3.0562
N Pm Ce Ca
6 2 3 1
direct
0.0040 0.7342 0.0079 N
0.3358 0.4104 0.6715 N
0.6642 0.5896 0.3285 N
0.6715 0.0766 0.3430 N
0.9960 0.2658 0.9921 N
0.3285 0.9234 0.6570 N
0.1667 0.3326 0.3335 Pm
0.8333 0.6674 0.6665 Pm
0.8347 0.1649 0.6695 Ce
0.5000 0.5000 0.0000 Ce
0.1653 0.8351 0.3305 Ce
0.5000 0.0000 0.0000 Ca
```

Ce2ZnRu2 after structural relaxation, computed with PBE.

Computed properties:
The formation enthalpy at 0 K is -0.268 eV per atom.

Cell and atoms, written as POSCAR:
```
Ce2ZnRu2
1.0
-0.0852 -2.4860 -6.0815
3.9531 -4.0052 1.5818
-6.0333 -0.2185 3.7233
Ce Ru Zn
4 4 2
direct
0.3481 0.0081 0.6962 Ce
0.8481 0.6881 0.6962 Ce
0.1519 0.3119 0.3038 Ce
0.6519 0.9919 0.3038 Ce
0.1264 0.8826 0.2528 Ru
0.6264 0.3702 0.2528 Ru
0.3736 0.6298 0.7472 Ru
0.8736 0.1174 0.7472 Ru
0.2500 0.5000 0.0000 Zn
0.7500 0.5000 0.0000 Zn
```

PaSiSe3 after structural relaxation, computed with PBE.

Computed properties:
Its formation energy without anion corrections is -483.4 meV/atom.

Cell and atoms, written as POSCAR:
```
PaSiSe3
1.0
6.9343 -0.8095 0.4104
-4.1088 5.6448 -0.4120
-2.7979 -1.6101 6.2057
Pa Se Si
2 6 2
direct
0.4645 0.2817 0.6828 Pa
0.5989 0.7817 0.3172 Pa
0.5315 0.7607 0.7291 Se
0.0315 0.8024 0.2709 Se
0.0588 0.2817 0.2771 Se
0.0316 0.2607 0.7291 Se
0.0046 0.7817 0.7229 Se
0.5316 0.3024 0.2709 Se
0.5319 0.0318 0.0001 Si
0.0318 0.5318 0.9999 Si
```

AcIn5Ru after structural relaxation, computed with PBE.

Computed properties:
The formation enthalpy at 0 K is -0.264 eV per atom.

Cell and atoms, written as POSCAR:
```
AcIn5Ru
1.0
-3.2975 -3.4458 0.5327
1.8188 -1.0743 4.3091
-4.8797 5.1880 3.3531
In Ac Ru
5 1 1
direct
0.5000 0.0000 0.3147 In
0.5000 0.5000 0.0000 In
0.5000 0.0000 0.6853 In
0.0000 0.5000 0.3147 In
0.0000 0.5000 0.6853 In
0.0000 0.0000 0.0000 Ac
0.0000 0.0000 0.5000 Ru
```

Nb2VS6 after structural relaxation, computed with PBE.

Computed properties:
Its formation energy without anion corrections is -810.1 meV/atom. For the offset from the most stable computed form, the calculation gives 0.132 eV per atom.

Cell and atoms, written as POSCAR:
```
Nb2VS6
1.0
-3.8352 2.9925 -3.4472
-2.1004 -5.1543 -2.1376
-6.8150 -0.2701 7.3475
S V Nb
12 2 4
direct
0.2875 0.2875 0.5000 S
0.7993 0.2007 0.6623 S
0.7875 0.2125 0.0000 S
0.2993 0.2993 0.8377 S
0.7007 0.7007 0.1623 S
0.7993 0.2007 0.3377 S
0.7007 0.7007 0.8377 S
0.2125 0.7875 0.0000 S
0.2993 0.2993 0.1623 S
0.7125 0.7125 0.5000 S
0.2007 0.7993 0.3377 S
0.2007 0.7993 0.6623 S
0.5000 0.5000 0.0000 V
0.0000 0.0000 0.5000 V
0.0000 0.0000 0.8378 Nb
0.5000 0.5000 0.6622 Nb
0.0000 0.0000 0.1622 Nb
0.5000 0.5000 0.3378 Nb
```

ZrTl2As2S6 after structural relaxation, computed with PBE.

Computed properties:
Its formation energy without anion corrections is -506.7 meV/atom.

Cell and atoms, written as POSCAR:
```
ZrTl2As2S6
1.0
7.0245 0.0000 0.0000
-3.5122 5.2934 0.0844
0.0000 -2.8536 7.7488
S Tl As Zr
6 2 2 1
direct
0.2089 0.9113 0.2498 S
0.2558 0.5116 0.4817 S
0.7023 0.9113 0.2498 S
0.2977 0.0887 0.7502 S
0.7911 0.0887 0.7502 S
0.7442 0.4884 0.5183 S
0.6881 0.3762 0.1261 Tl
0.3119 0.6238 0.8739 Tl
0.9108 0.8216 0.7682 As
0.0892 0.1784 0.2318 As
0.5000 0.0000 0.5000 Zr
```

Ac2SbPd after structural relaxation, computed with PBE.

Computed properties:
Its formation energy without anion corrections is -804.3 meV/atom. For the offset from the most stable computed form, the calculation gives 0.086 eV per atom.

Cell and atoms, written as POSCAR:
```
Ac2SbPd
1.0
-0.4336 -3.9438 -0.5446
2.9239 0.0564 -2.7360
5.2152 -1.3391 5.5457
Ac Pd Sb
2 1 1
direct
0.0000 0.0000 0.7604 Ac
0.0000 0.0000 0.2396 Ac
0.5000 0.5000 0.0000 Pd
0.5000 0.5000 0.5000 Sb
```

Pm2Ga7Co after structural relaxation, computed with PBE.

Computed properties:
The formation enthalpy at 0 K is -0.433 eV per atom.

Cell and atoms, written as POSCAR:
```
Pm2Ga7Co
1.0
-2.0384 0.0338 -3.6666
-3.4613 -1.4025 1.9113
-3.1029 10.1359 1.8185
Ga Pm Co
7 2 1
direct
0.0000 0.5000 0.6442 Ga
0.5000 0.0000 0.1238 Ga
0.5000 0.0000 0.3558 Ga
0.0000 0.5000 0.8762 Ga
0.5000 0.5000 0.5000 Ga
0.0000 0.0000 0.0000 Ga
0.0000 0.0000 0.5000 Ga
0.0000 0.5000 0.2422 Pm
0.5000 0.0000 0.7578 Pm
0.5000 0.5000 0.0000 Co
```

HfTaNb3 after structural relaxation, computed with PBE.

Computed properties:
For the offset from the most stable computed form, the calculation gives 0.000 eV per atom. The formation enthalpy at 0 K is 0.031 eV per atom.

Cell and atoms, written as POSCAR:
```
HfTaNb3
1.0
0.2319 4.5434 -1.2412
-1.8265 -1.0725 -4.2675
-7.8867 -1.0504 3.6393
Nb Hf Ta
6 2 2
direct
0.3470 0.7503 0.6939 Nb
0.8458 0.2504 0.6917 Nb
0.1542 0.7496 0.3083 Nb
0.9453 0.7505 0.8906 Nb
0.0547 0.2495 0.1094 Nb
0.6530 0.2497 0.3061 Nb
0.4464 0.2501 0.8928 Hf
0.5536 0.7499 0.1072 Hf
0.7489 0.7500 0.4977 Ta
0.2511 0.2500 0.5023 Ta
```

Na4URh3Se8 after structural relaxation, computed with PBE.

Computed properties:
Its formation energy without anion corrections is -798.5 meV/atom.

Cell and atoms, written as POSCAR:
```
Na4URh3Se8
1.0
-0.3430 -5.4638 5.2625
7.5432 2.1407 2.7142
-5.3041 5.4328 -0.1839
Na Se Rh U
4 8 3 1
direct
0.0000 0.0000 0.5000 Na
0.5000 0.0000 0.0000 Na
0.0000 0.0000 0.0000 Na
0.5000 0.0000 0.5000 Na
0.2849 0.2868 0.0357 Se
0.2491 0.7131 0.4982 Se
0.2492 0.7132 0.9643 Se
0.7151 0.7132 0.9643 Se
0.2728 0.3185 0.5456 Se
0.7509 0.2869 0.5018 Se
0.7272 0.6815 0.4544 Se
0.7508 0.2868 0.0357 Se
0.0000 0.5000 0.5000 Rh
0.5000 0.5000 0.5000 Rh
0.5000 0.5000 0.0000 Rh
0.0000 0.5000 0.0000 U
```

PuAlGe2Pd4 after structural relaxation, computed with PBE.

Computed properties:
The formation enthalpy at 0 K is -0.558 eV per atom.

Cell and atoms, written as POSCAR:
```
PuAlGe2Pd4
1.0
4.3167 0.0000 0.0000
2.1583 3.7384 0.0000
2.1583 1.2461 8.7106
Pd Ge Pu Al
4 2 1 1
direct
0.4062 0.4062 0.7814 Pd
0.5938 0.5938 0.2186 Pd
0.1362 0.1362 0.5915 Pd
0.8638 0.8638 0.4085 Pd
0.2562 0.2562 0.2313 Ge
0.7438 0.7438 0.7687 Ge
0.0000 0.0000 0.0000 Pu
0.5000 0.5000 0.5000 Al
```